Run i
The following is a GGA-PBE calculation of crystalline Pr2NdDy2 at its relaxed geometry, from Alexandria via LeMat-Bulk.

For the density of states at the Fermi level, the calculation gives 14.7 states/eV/cell. The total moment is 0.000 μB/cell. The calculation puts the density at 7.30 g/cm³. Its space-group type is Immm. The crystal system is orthorhombic.

a = 3.576 Å, b = 5.780 Å, c = 16.538 Å
α = 90.00°, β = 90.00°, γ = 90.00°
Sites, in units of the cell vectors:
Pr: 0.000 0.000 0.212
Pr: 0.000 0.000 0.788
Pr: 0.500 0.500 0.288
Pr: 0.500 0.500 0.712
Nd: 0.000 0.500 0.500
Nd: 0.500 0.000 0.000
Dy: 0.000 0.500 0.098
Dy: 0.000 0.500 0.902
Dy: 0.500 0.000 0.402
Dy: 0.500 0.000 0.598

Run ii
The following is a GGA-PBE calculation of crystalline Pr2NdDy2 at its relaxed geometry, from Alexandria via LeMat-Bulk.

For the density of states at the Fermi level, the calculation gives 13.0 states/eV/cell. The total moment is 0.000 μB/cell. The calculation puts the density at 7.05 g/cm³. Its space-group type is C2/c. The crystal system is monoclinic.

a = 8.009 Å, b = 8.009 Å, c = 6.426 Å
α = 100.71°, β = 100.71°, γ = 113.98°
Sites, in units of the cell vectors:
Pr: 0.115 0.240 0.421
Pr: 0.240 0.115 0.921
Pr: 0.760 0.885 0.079
Pr: 0.885 0.760 0.579
Nd: 0.428 0.572 0.250
Nd: 0.572 0.428 0.750
Dy: 0.180 0.820 0.250
Dy: 0.301 0.699 0.750
Dy: 0.699 0.301 0.250
Dy: 0.820 0.180 0.750

Here are the energies relative to the best structure, in meV/atom: run i 0; run ii 216.

Run i
The following is a GGA-PBE calculation of crystalline Pr2Nd5Dy4 at its relaxed geometry, from Alexandria via LeMat-Bulk.

For the density of states at the Fermi level, the calculation gives 16.7 states/eV/cell. The total moment is 0.000 μB/cell. The calculation puts the density at 7.32 g/cm³. Its space-group type is C2/m. The crystal system is monoclinic.

a = 12.073 Å, b = 12.073 Å, c = 8.918 Å
α = 104.21°, β = 104.21°, γ = 17.32°
Sites, in units of the cell vectors:
Pr: 0.089 0.089 0.223
Pr: 0.911 0.911 0.777
Nd: 0.000 0.000 0.500
Nd: 0.273 0.273 0.687
Nd: 0.363 0.363 0.405
Nd: 0.637 0.637 0.595
Nd: 0.727 0.727 0.313
Dy: 0.182 0.182 0.954
Dy: 0.453 0.453 0.135
Dy: 0.547 0.547 0.865
Dy: 0.818 0.818 0.046

Run ii
The following is a GGA-PBE calculation of crystalline Pr2Nd5Dy4 at its relaxed geometry, from Alexandria via LeMat-Bulk.

For the density of states at the Fermi level, the calculation gives 15.9 states/eV/cell. The total moment is 0.000 μB/cell. The calculation puts the density at 7.04 g/cm³. Its space-group type is Immm. The crystal system is orthorhombic.

a = 12.848 Å, b = 12.848 Å, c = 12.848 Å
α = 164.08°, β = 137.83°, γ = 45.35°
Sites, in units of the cell vectors:
Pr: 0.232 0.232 0.000
Pr: 0.768 0.768 0.000
Nd: 0.159 0.357 0.802
Nd: 0.445 0.643 0.802
Nd: 0.500 0.000 0.500
Nd: 0.555 0.357 0.198
Nd: 0.841 0.643 0.198
Dy: 0.096 0.096 0.000
Dy: 0.187 0.500 0.687
Dy: 0.813 0.500 0.313
Dy: 0.904 0.904 0.000

Here are the energies relative to the best structure, in meV/atom: run i 0; run ii 154.

Run i
The following is a GGA-PBE calculation of crystalline Pr3Nd2Dy2 at its relaxed geometry, from Alexandria via LeMat-Bulk.

For the density of states at the Fermi level, the calculation gives 19.3 states/eV/cell. The total moment is 0.000 μB/cell. The calculation puts the density at 7.04 g/cm³. Its space-group type is C2/m. The crystal system is monoclinic.

a = 17.784 Å, b = 3.565 Å, c = 8.795 Å
α = 90.00°, β = 118.75°, γ = 90.00°
Sites, in units of the cell vectors:
Pr: 0.000 0.000 0.000
Pr: 0.214 0.000 0.304
Pr: 0.286 0.500 0.696
Pr: 0.500 0.500 0.000
Pr: 0.714 0.500 0.304
Pr: 0.786 0.000 0.696
Nd: 0.144 0.000 0.822
Nd: 0.356 0.500 0.178
Nd: 0.644 0.500 0.822
Nd: 0.856 0.000 0.178
Dy: 0.064 0.500 0.406
Dy: 0.436 0.000 0.594
Dy: 0.564 0.000 0.406
Dy: 0.936 0.500 0.594

Run ii
The following is a GGA-PBE calculation of crystalline Pr3Nd2Dy2 at its relaxed geometry, from Alexandria via LeMat-Bulk.

For the density of states at the Fermi level, the calculation gives 9.9 states/eV/cell. The total moment is 0.000 μB/cell. The calculation puts the density at 7.12 g/cm³. Its space-group type is P-1. The crystal system is triclinic.

a = 3.663 Å, b = 6.321 Å, c = 10.965 Å
α = 95.64°, β = 90.03°, γ = 106.75°
Sites, in units of the cell vectors:
Pr: 0.000 0.000 0.000
Pr: 0.143 0.284 0.571
Pr: 0.857 0.716 0.429
Nd: 0.284 0.569 0.144
Nd: 0.716 0.431 0.856
Dy: 0.428 0.858 0.714
Dy: 0.572 0.142 0.286

Here are the energies relative to the best structure, in meV/atom: run i 87; run ii 0.

Run i
The following is a GGA-PBE calculation of crystalline Pr5Nd2Dy2 at its relaxed geometry, from Alexandria via LeMat-Bulk.

For the density of states at the Fermi level, the calculation gives 14.3 states/eV/cell. The total moment is 0.000 μB/cell. The calculation puts the density at 6.96 g/cm³. Its space-group type is C2/m. The crystal system is monoclinic.

a = 6.365 Å, b = 6.365 Å, c = 11.001 Å
α = 106.91°, β = 106.91°, γ = 48.13°
Sites, in units of the cell vectors:
Pr: 0.000 0.000 0.000
Pr: 0.333 0.333 0.111
Pr: 0.333 0.333 0.445
Pr: 0.667 0.667 0.555
Pr: 0.667 0.667 0.889
Nd: 0.001 0.001 0.668
Nd: 0.999 0.999 0.332
Dy: 0.333 0.333 0.777
Dy: 0.667 0.667 0.223

Run ii
The following is a GGA-PBE calculation of crystalline Pr5Nd2Dy2 at its relaxed geometry, from Alexandria via LeMat-Bulk.

For the density of states at the Fermi level, the calculation gives 26.7 states/eV/cell. The total moment is 0.000 μB/cell. The calculation puts the density at 6.91 g/cm³. Its space-group type is Ima2. The crystal system is orthorhombic.

a = 10.277 Å, b = 10.277 Å, c = 10.277 Å
α = 85.11°, β = 108.31°, γ = 140.45°
Sites, in units of the cell vectors:
Pr: 0.060 0.053 0.507
Pr: 0.069 0.478 0.877
Pr: 0.069 0.692 0.091
Pr: 0.247 0.053 0.300
Pr: 0.247 0.447 0.693
Pr: 0.545 0.553 0.493
Pr: 0.601 0.192 0.123
Pr: 0.601 0.978 0.909
Pr: 0.753 0.553 0.307
Pr: 0.753 0.947 0.700
Nd: 0.152 0.282 0.122
Nd: 0.152 0.530 0.370
Nd: 0.160 0.030 0.878
Nd: 0.160 0.782 0.630
Dy: 0.605 0.863 0.242
Dy: 0.621 0.363 0.758
Dy: 0.675 0.175 0.500
Dy: 0.675 0.675 0.000

Here are the energies relative to the best structure, in meV/atom: run i 0; run ii 186.

Run i
The following is a GGA-PBE calculation of crystalline Pr5Nd4Dy at its relaxed geometry, from Alexandria via LeMat-Bulk.

For the density of states at the Fermi level, the calculation gives 15.2 states/eV/cell. The total moment is 0.000 μB/cell. The calculation puts the density at 6.73 g/cm³. Its space-group type is C2/m. The crystal system is monoclinic.

a = 9.352 Å, b = 9.352 Å, c = 11.345 Å
α = 107.11°, β = 107.11°, γ = 22.09°
Sites, in units of the cell vectors:
Pr: 0.000 0.000 0.000
Pr: 0.292 0.292 0.900
Pr: 0.395 0.395 0.213
Pr: 0.605 0.605 0.787
Pr: 0.708 0.708 0.100
Nd: 0.196 0.196 0.582
Nd: 0.408 0.408 0.695
Nd: 0.592 0.592 0.305
Nd: 0.804 0.804 0.418
Dy: 0.000 0.000 0.500

Run ii
The following is a GGA-PBE calculation of crystalline Pr5Nd4Dy at its relaxed geometry, from Alexandria via LeMat-Bulk.

For the density of states at the Fermi level, the calculation gives 14.4 states/eV/cell. The total moment is 0.000 μB/cell. The calculation puts the density at 6.69 g/cm³. Its space-group type is I4. The crystal system is tetragonal.

a = 8.164 Å, b = 8.164 Å, c = 8.164 Å
α = 98.66°, β = 98.66°, γ = 134.34°
Sites, in units of the cell vectors:
Pr: 0.000 0.000 0.000
Pr: 0.534 0.912 0.999
Pr: 0.535 0.534 0.622
Pr: 0.912 0.913 0.378
Pr: 0.913 0.535 0.001
Nd: 0.258 0.933 0.674
Nd: 0.259 0.583 0.326
Nd: 0.583 0.258 0.325
Nd: 0.933 0.259 0.675
Dy: 0.463 0.463 0.000

Here are the energies relative to the best structure, in meV/atom: run i 0; run ii 135.